(1)
Material: Pu2ZnGe3
Method: DFT, GGA-PBE
State: optimized geometry

Structure (CIF):
```
data_Pu2ZnGe3
_symmetry_space_group_name_H-M 'F m m m'
_symmetry_Int_Tables_number 69
_symmetry_space_group_name_Hall '-F 2 2'
_cell_length_a 8.018
_cell_length_b 8.495
_cell_length_c 14.787
_cell_angle_alpha 90.00
_cell_angle_beta 90.00
_cell_angle_gamma 90.00
loop_
_atom_site_label
_atom_site_type_symbol
_atom_site_fract_x
_atom_site_fract_y
_atom_site_fract_z
Pu1 Pu 0.240 0.000 0.000
Pu2 Pu 0.250 0.250 0.250
Zn1 Zn 0.000 0.000 0.334
Ge1 Ge 0.000 0.000 0.170
Ge2 Ge 0.000 0.245 0.416
```

Properties
ρ, g cm⁻³: 10.17
Calculated total energy, eV/cell: -366.07
Formation energy, meV per atom: -328
ΔE to the lowest computed polymorph, eV per atom: 0.000
Size of the total moment, μB per formula unit: 0.05

***

(2)
Material: Pu3Zn7Ge4
Method: DFT, GGA-PBE
State: optimized geometry

Structure (CIF):
```
data_Pu3Zn7Ge4
_symmetry_space_group_name_H-M 'C 1 2/m 1'
_symmetry_Int_Tables_number 12
_cell_length_a 15.624
_cell_length_b 4.341
_cell_length_c 9.390
_cell_angle_alpha 90.00
_cell_angle_beta 125.29
_cell_angle_gamma 90.00
loop_
_symmetry_equiv_pos_as_xyz
'x,y,z'
'-x,-y,-z'
'-x,y,-z'
'x,-y,z'
'x+1/2,y+1/2,z'
'-x+1/2,-y+1/2,-z'
'-x+1/2,y+1/2,-z'
'x+1/2,-y+1/2,z'
loop_
_atom_site_label
_atom_site_type_symbol
_atom_site_fract_x
_atom_site_fract_y
_atom_site_fract_z
Pu1 Pu 0.000 0.000 0.000
Pu2 Pu 0.205 0.500 0.708
Zn1 Zn 0.000 0.000 0.500
Zn2 Zn 0.005 0.500 0.324
Zn3 Zn 0.146 0.000 0.430
Zn4 Zn 0.157 0.500 0.011
Ge1 Ge 0.137 0.000 0.855
Ge2 Ge 0.152 0.500 0.278
```

Properties
ρ, g cm⁻³: 9.46
Calculated total energy, eV/cell: -147.74
Formation energy, meV per atom: -249
Size of the total moment, μB per formula unit: 17.03

***

(3)
Material: PuZn4Ge
Method: DFT, GGA-PBE
State: optimized geometry

Structure (CIF):
```
data_PuZn4Ge
_symmetry_space_group_name_H-M 'F -4 3 m'
_symmetry_Int_Tables_number 216
_symmetry_space_group_name_Hall 'F -4 2 3'
_cell_length_a 7.614
_cell_length_b 7.614
_cell_length_c 7.614
_cell_angle_alpha 90.00
_cell_angle_beta 90.00
_cell_angle_gamma 90.00
loop_
_atom_site_label
_atom_site_type_symbol
_atom_site_fract_x
_atom_site_fract_y
_atom_site_fract_z
Pu1 Pu 0.000 0.000 0.000
Zn1 Zn 0.125 0.125 0.625
Ge1 Ge 0.250 0.250 0.250
```

Properties
ρ, g cm⁻³: 8.70
Calculated total energy, eV/cell: -95.99
Formation energy, meV per atom: 8
Size of the total moment, μB per formula unit: 5.56